Model P:
Computed, not measured: a relaxed W3AuI crystal at the PBE level of DFT.

a = 4.939 Å, b = 4.939 Å, c = 4.939 Å
α = 90.00°, β = 90.00°, γ = 90.00°
Atoms (fractional coordinates):
1 W 0.500 0.000 0.000
2 W 0.000 0.000 0.500
3 Au 0.000 0.000 0.000
4 I 0.500 0.500 0.500
5 W 0.000 0.500 0.000

Crystal system = cubic
Calculated density = 12.1 g/cm³
Space-group type = Pm-3m, No. 221

---

Model Q:
Computed, not measured: a relaxed W3AuI crystal at the PBE level of DFT.

a = 4.839 Å, b = 4.839 Å, c = 4.839 Å
α = 90.00°, β = 90.00°, γ = 90.00°
Atoms (fractional coordinates):
1 I 0.000 0.000 0.000
2 Au 0.500 0.500 0.500
3 W 0.500 0.000 0.000
4 W 0.000 0.000 0.500
5 W 0.000 0.500 0.000

Crystal system = cubic
Calculated density = 12.8 g/cm³
Space-group type = Pm-3m, No. 221

---

The most stable arrangement is model Q, and the next structure is 5.0 kJ/mol of atoms less stable.

---

Model P:
Computed, not measured: a relaxed WAu2I crystal at the PBE level of DFT.

a = 4.925 Å, b = 4.925 Å, c = 4.925 Å
α = 60.00°, β = 60.00°, γ = 60.00°
Each line ends with the local moment (μB).
Atoms (fractional coordinates):
1 W 0.500 0.500 0.500  2.17
2 I 0.000 0.000 0.000  -0.04
3 Au 0.250 0.250 0.250  0.06
4 Au 0.750 0.750 0.750  0.06

Crystal system = cubic
Calculated density = 13.9 g/cm³
Space-group type = Fm-3m, No. 225

---

Model Q:
Computed, not measured: a relaxed WAu2I crystal at the PBE level of DFT.

a = 8.007 Å, b = 8.007 Å, c = 6.330 Å
α = 50.77°, β = 50.77°, γ = 90.00°
Each line ends with the local moment (μB).
Atoms (fractional coordinates):
1 W 0.000 0.000 0.000  1.90
2 I 0.500 0.500 0.000  0.05
3 Au 0.090 0.625 0.250  0.07
4 Au 0.660 0.125 0.250  0.07
5 Au 0.375 0.340 0.750  0.07
6 W 0.750 0.250 0.500  1.89
7 I 0.250 0.750 0.500  0.04
8 Au 0.875 0.910 0.750  0.07

Crystal system = tetragonal
Calculated density = 12.9 g/cm³
Space-group type = I-42d, No. 122

---

The most stable arrangement is model Q, and the next structure is 29.1 kJ/mol of atoms less stable.

---

Model P:
Computed, not measured: a relaxed W2AuI crystal at the PBE level of DFT.

a = 4.650 Å, b = 4.650 Å, c = 4.650 Å
α = 60.00°, β = 60.00°, γ = 60.00°
Atoms (fractional coordinates):
1 W 0.250 0.250 0.250
2 I 0.000 0.000 0.000
3 W 0.750 0.750 0.750
4 Au 0.500 0.500 0.500

Crystal system = cubic
Calculated density = 16.2 g/cm³
Space-group type = Fm-3m, No. 225

---

Model Q:
Computed, not measured: a relaxed W2AuI crystal at the PBE level of DFT.

a = 4.062 Å, b = 4.062 Å, c = 10.469 Å
α = 78.81°, β = 78.81°, γ = 90.00°
Atoms (fractional coordinates):
1 W 0.068 0.625 0.250
2 W 0.375 0.318 0.750
3 W 0.682 0.125 0.250
4 Au 0.750 0.250 0.500
5 W 0.875 0.932 0.750
6 I 0.500 0.500 0.000
7 Au 0.000 0.000 0.000
8 I 0.250 0.750 0.500

Crystal system = tetragonal
Calculated density = 13.8 g/cm³
Space-group type = I-42d, No. 122

---

The most stable arrangement is model P, and the next structure is 9.1 kJ/mol of atoms less stable.

---

Model P:
Computed, not measured: a relaxed Y2Au2I crystal at the PBE level of DFT.

a = 8.325 Å, b = 8.325 Å, c = 3.735 Å
α = 90.00°, β = 90.00°, γ = 90.00°
Atoms (fractional coordinates):
1 Y 0.662 0.838 0.500
2 Y 0.838 0.338 0.500
3 Y 0.338 0.162 0.500
4 Au 0.627 0.127 0.000
5 Y 0.162 0.662 0.500
6 Au 0.873 0.627 0.000
7 I 0.000 0.000 0.000
8 Au 0.373 0.873 0.000
9 I 0.500 0.500 0.000
10 Au 0.127 0.373 0.000

Crystal system = tetragonal
Calculated density = 9.0 g/cm³
Space-group type = P4/mbm, No. 127

---

Model Q:
Computed, not measured: a relaxed Y2Au2I crystal at the PBE level of DFT.

a = 8.252 Å, b = 8.252 Å, c = 3.870 Å
α = 90.00°, β = 90.00°, γ = 90.00°
Atoms (fractional coordinates):
1 Au 0.871 0.371 0.500
2 Au 0.129 0.629 0.500
3 Au 0.371 0.129 0.500
4 Y 0.161 0.339 0.000
5 Y 0.339 0.839 0.000
6 Au 0.629 0.871 0.500
7 Y 0.839 0.661 0.000
8 I 0.500 0.500 0.000
9 I 0.000 0.000 0.000
10 Y 0.661 0.161 0.000

Crystal system = tetragonal
Calculated density = 8.8 g/cm³
Space-group type = P4/mbm, No. 127

---

The most stable arrangement is model Q, and the next structure is 5.6 kJ/mol of atoms less stable.

---

Model P:
Computed, not measured: a relaxed YAu2I crystal at the PBE level of DFT.

a = 5.185 Å, b = 5.185 Å, c = 5.185 Å
α = 60.00°, β = 60.00°, γ = 60.00°
Atoms (fractional coordinates):
1 Au 0.250 0.250 0.250
2 I 0.500 0.500 0.500
3 Y 0.000 0.000 0.000
4 Au 0.750 0.750 0.750

Crystal system = cubic
Calculated density = 10.3 g/cm³
Space-group type = Fm-3m, No. 225

---

Model Q:
Computed, not measured: a relaxed YAu2I crystal at the PBE level of DFT.

a = 8.439 Å, b = 8.439 Å, c = 6.667 Å
α = 50.74°, β = 50.74°, γ = 90.00°
Atoms (fractional coordinates):
1 Y 0.500 0.500 0.000
2 Au 0.875 0.858 0.750
3 I 0.000 0.000 0.000
4 Au 0.375 0.392 0.750
5 Au 0.142 0.625 0.250
6 Au 0.608 0.125 0.250
7 Y 0.250 0.750 0.500
8 I 0.750 0.250 0.500

Crystal system = tetragonal
Calculated density = 9.6 g/cm³
Space-group type = I-42d, No. 122

---

The most stable arrangement is model Q, and the next structure is 14.0 kJ/mol of atoms less stable.

---

Model P:
Computed, not measured: a relaxed ZnAuI2 crystal at the PBE level of DFT.

a = 6.562 Å, b = 6.562 Å, c = 8.271 Å
α = 66.63°, β = 66.63°, γ = 90.00°
Atoms (fractional coordinates):
1 I 0.875 0.880 0.750
2 Au 0.000 0.000 0.000
3 Zn 0.250 0.750 0.500
4 Au 0.750 0.250 0.500
5 I 0.630 0.125 0.250
6 I 0.375 0.370 0.750
7 Zn 0.500 0.500 0.000
8 I 0.120 0.625 0.250

Crystal system = tetragonal
Calculated density = 5.8 g/cm³
Space-group type = I-42d, No. 122

---

Model Q:
Computed, not measured: a relaxed ZnAuI2 crystal at the PBE level of DFT.

a = 5.328 Å, b = 5.328 Å, c = 5.328 Å
α = 60.00°, β = 60.00°, γ = 60.00°
Atoms (fractional coordinates):
1 I 0.750 0.750 0.750
2 I 0.250 0.250 0.250
3 Au 0.500 0.500 0.500
4 Zn 0.000 0.000 0.000

Crystal system = cubic
Calculated density = 8.0 g/cm³
Space-group type = Fm-3m, No. 225

---

The most stable arrangement is model P, and the next structure is 28.0 kJ/mol of atoms less stable.